The following is a DFT calculation (PBE-GGA) of VHRu2W after structural relaxation.

Geometry as POSCAR:
```
VHRu2W
1.0
-2.296 -3.049 0.799
1.010 -1.648 -3.387
3.017 -1.805 1.778
V W H Ru
1 1 1 2
Cartesian
0.866 -3.252 -0.405
1.508 -0.903 0.889
0.000 0.000 0.000
-1.148 -1.525 0.400
0.505 -0.824 -1.693
```

Summary:
Energy above the most stable polymorph in this dataset: 70.0 meV per atom
Space-group type: No. 123